This record from Alexandria via LeMat-Bulk describes Rb2PaAsS5 after structural relaxation. The functional is PBE-GGA. Values from VASP.

## Properties
- ΔE_f (raw): -1.101 eV/atom
- Volume: 32.240 A^3/atom

Geometry as Quantum ESPRESSO input:
```
&SYSTEM
  ibrav = 0, nat = 18, ntyp = 4
/
ATOMIC_SPECIES
Rb 85.47 Rb.upf
Pa 231.04 Pa.upf
As 74.92 As.upf
S 32.06 S.upf
ATOMIC_POSITIONS crystal
Rb 0.1021 0.8979 0.5000
Rb 0.1338 0.8662 0.1629
Rb 0.8662 0.1338 0.6629
Rb 0.8979 0.1021 0.0000
Pa 0.2036 0.7964 0.8799
Pa 0.7964 0.2036 0.3799
As 0.4492 0.5508 0.2758
As 0.5508 0.4492 0.7758
S 0.0636 0.9364 0.8874
S 0.2868 0.7132 0.4922
S 0.3225 0.6775 0.2585
S 0.3334 0.6666 0.8378
S 0.4899 0.5101 0.1360
S 0.5101 0.4899 0.6360
S 0.6666 0.3334 0.3378
S 0.6775 0.3225 0.7585
S 0.7132 0.2868 0.9922
S 0.9364 0.0636 0.3874
CELL_PARAMETERS angstrom
2.1400 -9.2827 0.0000
2.1400 9.2827 0.0000
0.0000 0.0000 14.6066
```